Record 1
A relaxed TbErRhI crystal. Source: Alexandria via LeMat-Bulk, functional GGA-PBE.

Cell lengths 4.0628, 4.0626, 8.2651 Å; angles 90.01, 104.23, 120.00 degrees
Sites, in units of the cell vectors:
Tb 0.5161 0.1559 0.6877
Er 0.0904 0.9432 0.0488
Rh 0.3053 0.5505 0.8714
I 0.9661 0.3812 0.3618

Summary:
E_tot = -5.461 eV per atom
Uncorrected formation energy = -936.9 meV per atom
Size of the total moment = 0.000 μB per formula unit

Record 2
A relaxed Er2RuI crystal. Source: Alexandria via LeMat-Bulk, functional GGA-PBE.

Cell lengths 4.0216, 4.0216, 8.2119 Å; angles 75.83, 75.83, 60.00 degrees
Sites, in units of the cell vectors:
I 0.5000 0.5000 0.5000
Ru 0.0000 0.0000 0.0000
Er 0.7270 0.7270 0.8191
Er 0.2730 0.2730 0.1809

Summary:
E_tot = -5.588 eV per atom
Uncorrected formation energy = -600.5 meV per atom
Size of the total moment = 0.000 μB per formula unit
Excess energy over the best structure of this formula in the dataset = 0 meV per atom

Record 3
A relaxed Er2RuI crystal. Source: Alexandria via LeMat-Bulk, functional GGA-PBE.

Cell lengths 3.4677, 3.4677, 8.3156 Å; angles 90.00, 90.00, 90.00 degrees
Sites, in units of the cell vectors:
I 0.5000 0.5000 0.5000
Ru 0.5000 0.5000 0.0000
Er 0.0000 0.0000 0.8040
Er 0.0000 0.0000 0.1960

Summary:
E_tot = -5.545 eV per atom
Uncorrected formation energy = -557.0 meV per atom
Size of the total moment = 0.000 μB per formula unit
Excess energy over the best structure of this formula in the dataset = 44 meV per atom

Record 4
A relaxed ErThRuI crystal. Source: Alexandria via LeMat-Bulk, functional GGA-PBE.

Cell lengths 4.1020, 4.1025, 8.4624 Å; angles 90.00, 104.03, 120.01 degrees
Sites, in units of the cell vectors:
Er 0.5142 0.1550 0.6846
Th 0.0845 0.9400 0.0398
Ru 0.3049 0.5503 0.8707
I 0.9744 0.3855 0.3746

Summary:
E_tot = -6.411 eV per atom
Uncorrected formation energy = -708.9 meV per atom
Size of the total moment = 0.000 μB per formula unit

Record 5
A relaxed ErS6I2 crystal. Source: Alexandria via LeMat-Bulk, functional GGA-PBE.

Cell lengths 4.3603, 9.0555, 8.9472 Å; angles 117.92, 92.75, 92.67 degrees
Last column: magnetic moment on the atom in μB.
Sites, in units of the cell vectors:
Er 0.0000 0.0000 0.0000  0.04
S 0.9063 0.5400 0.2970  0.18
S 0.0937 0.4600 0.7030  0.18
S 0.8702 0.7073 0.7052  0.08
S 0.9129 0.2709 0.4870  0.00
S 0.0871 0.7291 0.5130  0.00
S 0.1298 0.2927 0.2948  0.08
I 0.5043 0.8539 0.1271  0.01
I 0.4957 0.1461 0.8729  0.01

Summary:
E_tot = -4.011 eV per atom
Uncorrected formation energy = -408.2 meV per atom
Size of the total moment = 0.950 μB per formula unit

Record 6
A relaxed Er2SI crystal. Source: Alexandria via LeMat-Bulk, functional GGA-PBE.

Cell lengths 3.8586, 3.8586, 8.0532 Å; angles 76.14, 76.14, 60.00 degrees
Sites, in units of the cell vectors:
I 0.5000 0.5000 0.5000
S 0.0000 0.0000 0.0000
Er 0.2709 0.2709 0.1874
Er 0.7291 0.7291 0.8126

Summary:
E_tot = -4.963 eV per atom
Uncorrected formation energy = -1262.1 meV per atom
Size of the total moment = 0.000 μB per formula unit

Copy entry 1 word for word.
A relaxed TbErRhI crystal. Source: Alexandria via LeMat-Bulk, functional GGA-PBE.

Cell lengths 4.0628, 4.0626, 8.2651 Å; angles 90.01, 104.23, 120.00 degrees
Sites, in units of the cell vectors:
Tb 0.5161 0.1559 0.6877
Er 0.0904 0.9432 0.0488
Rh 0.3053 0.5505 0.8714
I 0.9661 0.3812 0.3618

Summary:
E_tot = -5.461 eV per atom
Uncorrected formation energy = -936.9 meV per atom
Size of the total moment = 0.000 μB per formula unit

Copy entry 4 word for word.
A relaxed ErThRuI crystal. Source: Alexandria via LeMat-Bulk, functional GGA-PBE.

Cell lengths 4.1020, 4.1025, 8.4624 Å; angles 90.00, 104.03, 120.01 degrees
Sites, in units of the cell vectors:
Er 0.5142 0.1550 0.6846
Th 0.0845 0.9400 0.0398
Ru 0.3049 0.5503 0.8707
I 0.9744 0.3855 0.3746

Summary:
E_tot = -6.411 eV per atom
Uncorrected formation energy = -708.9 meV per atom
Size of the total moment = 0.000 μB per formula unit

Look up the E_tot of the fifth one. -4.011 eV per atom